## AlIr2Br (GGA-PBE)

Data for a geometry-optimized AlIr2Br structure.

The structure in CIF format:
```
data_AlIr2Br
_cell_length_a 2.8700
_cell_length_b 4.2707
_cell_length_c 11.1117
_cell_angle_alpha 90.00
_cell_angle_beta 90.00
_cell_angle_gamma 90.00
_space_group_name_H-M_alt 'I m m 2'
_space_group_IT_number 44
loop_
_space_group_symop_operation_xyz
'x,y,z'
'-x,-y,z'
'-x,y,z'
'x,-y,z'
'x+1/2,y+1/2,z+1/2'
'-x+1/2,-y+1/2,z+1/2'
'-x+1/2,y+1/2,z+1/2'
'x+1/2,-y+1/2,z+1/2'
loop_
_atom_site_label
_atom_site_type_symbol
_atom_site_fract_x
_atom_site_fract_y
_atom_site_fract_z
Al1 Al 0.0000 0.0000 0.0000
Ir1 Ir 0.0000 0.0000 0.4225
Ir2 Ir 0.0000 0.5000 0.7041
Br1 Br 0.0000 0.5000 0.2300
```

## Properties
offset from the most stable computed form = 368 meV/atom
calculated density = 11.981 g cm⁻³
total energy = -5.368 eV/atom
energy relative to the elements, uncorrected = 417 meV per atom